Model a:
VASP calculation (GGA-PBE) on KTcS3 after structural relaxation.

Computed properties:
Its spin magnetization is 0.00 μB/atom. The crystal system is cubic.

Unit cell a=4.7374 b=4.7374 c=4.7374 alpha=90.00 beta=90.00 gamma=90.00
With the nearest neighbours (Å) after each atom.
Element x y z (fractional)
1 K 0.5000 0.5000 0.5000  12 S 3.35
2 S 0.5000 0.0000 0.0000  2 Tc 2.37
3 S 0.0000 0.0000 0.5000  2 Tc 2.37
4 S 0.0000 0.5000 0.0000  2 Tc 2.37
5 Tc 0.0000 0.0000 0.0000  6 S 2.37

Model b:
VASP calculation (GGA-PBE) on KTcS3 after structural relaxation.

Computed properties:
Its spin magnetization is 0.00 μB/atom. The crystal system is hexagonal.

Unit cell a=5.8383 b=6.8130 c=6.8133 alpha=120.00 beta=89.99 gamma=90.00
With the nearest neighbours (Å) after each atom.
Element x y z (fractional)
1 S 0.2500 0.8404 0.1596  2 Tc 2.38
2 S 0.7500 0.1596 0.8404  2 Tc 2.38
3 K 0.7499 0.6667 0.3334  12 S 3.41-3.57
4 S 0.7500 0.1596 0.3192  2 Tc 2.38
5 Tc 0.5000 0.0000 0.0000  6 S 2.38
6 Tc 0.0000 0.0000 0.0000  6 S 2.38
7 S 0.2500 0.8404 0.6808  2 Tc 2.38
8 S 0.2500 0.3192 0.1596  2 Tc 2.38
9 K 0.2501 0.3333 0.6667  12 S 3.41-3.57
10 S 0.7500 0.6808 0.8404  2 Tc 2.38

Model c:
VASP calculation (GGA-PBE) on KTcS3 after structural relaxation.

Computed properties:
Its spin magnetization is 0.40 μB/atom. The crystal system is cubic.

Unit cell a=5.3365 b=5.3365 c=5.3365 alpha=90.00 beta=90.00 gamma=90.00
With the nearest neighbours (Å) after each atom.
Element x y z (fractional)
1 S 0.5000 0.0000 0.0000  2 K 2.67
2 K 0.0000 0.0000 0.0000  6 S 2.67
3 S 0.0000 0.0000 0.5000  2 K 2.67
4 S 0.0000 0.5000 0.0000  2 K 2.67
5 Tc 0.5000 0.5000 0.5000  12 S 3.77

Most stable: model b. Least stable: model c.